Record 1
Compound: BSeO3
Source: Alexandria
Functional: PBE
Structure: optimized geometry

Cell lengths 3.393, 3.393, 3.393 Å; angles 90.00, 90.00, 90.00 degrees
Space group Pm-3m (No. 221)
Inequivalent atoms, fractional coordinates:
B (0.000, 0.000, 0.000) x1
Se (0.500, 0.500, 0.500) x1
O (0.000, 0.000, 0.500) x3

Calculated values
* theoretical density: 5.86 Mg/m³
* Fermi-level density of states: 0.3071 states/eV per atom
* total moment: 0.000 Bohr magnetons per cell
* formation energy (no corrections): -157 meV/atom
* crystal system: cubic

---

Record 2
Compound: BaZn2Re
Source: Alexandria
Functional: PBE
Structure: optimized geometry

Cell lengths 9.144, 3.006, 6.524 Å; angles 90.00, 98.49, 90.00 degrees
Space group C2/m (No. 12)
Inequivalent atoms, fractional coordinates:
Ba (0.000, 0.000, 0.000) x2
Zn (0.233, 0.000, 0.654) x4
Re (0.000, 0.500, 0.500) x2

Calculated values
* theoretical density: 8.51 Mg/m³
* DFT formation energy: 540 meV/atom
* Fermi-level density of states: 0.9081 states/eV per atom
* total moment: 0.000 Bohr magnetons per cell
* crystal system: monoclinic
* polymorph energy (0 for the lowest one): 79 meV/atom

---

Record 3
Compound: CeSbOs
Source: Alexandria
Functional: PBE
Structure: optimized geometry

Cell lengths 3.717, 3.717, 22.021 Å; angles 90.00, 90.00, 90.00 degrees
Space group I4/mmm (No. 139)
Inequivalent atoms, fractional coordinates:
Ce (0.000, 0.000, 0.149) x4
Sb (0.000, 0.000, 0.436) x4
Os (0.000, 0.000, 0.264) x4

Calculated values
* theoretical density: 9.87 Mg/m³
* Fermi-level density of states: 1.5115 states/eV per atom
* total moment: 0.007 Bohr magnetons per cell
* formation energy (no corrections): -21 meV/atom
* crystal system: tetragonal

---

Record 4
Compound: CsKSr2As
Source: Alexandria
Functional: PBE
Structure: optimized geometry

Cell lengths 6.198, 6.198, 7.114 Å; angles 90.00, 90.00, 90.00 degrees
Space group P4/mmm (No. 123)
Inequivalent atoms, fractional coordinates:
Cs (0.000, 0.000, 0.000) x1
K (0.500, 0.500, 0.000) x1
Sr (0.000, 0.500, 0.500) x2
As (0.500, 0.500, 0.500) x1

Calculated values
* theoretical density: 2.57 Mg/m³
* DFT formation energy: -338 meV/atom
* Fermi-level density of states: 0.8388 states/eV per atom
* total moment: 0.001 Bohr magnetons per cell
* crystal system: tetragonal

---

Record 5
Compound: LiGd2H
Source: Alexandria
Functional: PBE
Structure: optimized geometry

Cell lengths 3.4934, 3.4934, 27.3357 Å; angles 90.00, 90.00, 120.00 degrees
Space group R-3m (No. 166, hexagonal axes)
Inequivalent atoms, fractional coordinates:
Li (0.0000, 0.0000, 0.0000) x3
Gd (0.0000, 0.0000, 0.1167) x6
H (0.0000, 0.0000, 0.5000) x3

Calculated values
* theoretical density: 5.56 Mg/m³
* Fermi-level density of states: 0.7250 states/eV per atom
* total moment: 43.437 Bohr magnetons per cell
* crystal system: trigonal
* E: -8.375 eV/atom

---

Record 6
Compound: BeTlGaTe2
Source: Alexandria
Functional: PBE
Structure: optimized geometry

Cell lengths 5.319, 5.319, 4.650 Å; angles 90.00, 90.00, 90.00 degrees
Space group P4/mmm (No. 123)
Inequivalent atoms, fractional coordinates:
Be (0.000, 0.000, 0.000) x1
Tl (0.500, 0.500, 0.500) x1
Ga (0.000, 0.000, 0.500) x1
Te (0.000, 0.500, 0.000) x2

Calculated values
* theoretical density: 6.80 Mg/m³
* Fermi-level density of states: 0.7002 states/eV per atom
* total moment: 0.000 Bohr magnetons per cell
* formation energy (no corrections): 108 meV/atom
* crystal system: tetragonal

---

Question: Which value of total moment does entry 6 give?
Answer: 0.000 Bohr magnetons per cell

---

Question: Among the records above, which one has the lowest Fermi-level density of states?
Answer: BSeO3

---

Question: What is the formula in the sixth record?
Answer: BeTlGaTe2